A plane-wave DFT calculation with PBE was carried out for crystalline CdNiS3 at its relaxed geometry.

```
5
Lattice="4.489 0.000 0.000 0.000 4.489 0.000 0.000 0.000 4.489" Properties=species:S:1:pos:R:3 pbc="T T T"
Cd 0.000 0.000 0.000
Ni 2.244 2.244 2.244
S 0.000 2.244 2.244
S 2.244 0.000 2.244
S 2.244 2.244 0.000
```

Properties
space group = Pm-3m, No. 221
ΔE to the lowest computed polymorph = 0.000 eV/atom
spin magnetization = 0.00 Bohr magnetons per cell